No. 1
Density functional theory data (PBE) for an optimized crystal structure of NdEr3Tc.

E_tot: -5.84 eV per atom
crystal system: monoclinic
total magnetization: 0.00 μB/f.u.
formation energy from the elements: -0.08 eV per atom

Cell lengths 3.768, 8.601, 8.741 Å; angles 101.99, 90.00, 90.00 degrees
Fractional coordinates of all 10 atoms:
Nd1 0.750 0.330 0.487
Nd2 0.250 0.670 0.513
Er1 0.750 0.526 0.162
Er2 0.250 0.156 0.110
Er3 0.750 0.922 0.316
Er4 0.250 0.474 0.838
Er5 0.250 0.078 0.684
Er6 0.750 0.844 0.890
Tc1 0.250 0.763 0.098
Tc2 0.750 0.237 0.902

No. 2
Density functional theory data (PBE) for an optimized crystal structure of CsKZn2.

E_tot: -0.80 eV per atom
crystal system: tetragonal
total magnetization: 0.00 μB/f.u.
formation energy from the elements: 0.33 eV per atom

Cell lengths 9.777, 9.777, 7.877 Å; angles 51.64, 51.64, 90.00 degrees
Fractional coordinates of all 8 atoms:
Cs1 0.000 0.000 0.000
Cs2 0.750 0.250 0.500
Zn1 0.607 0.125 0.250
Zn2 0.143 0.625 0.250
Zn3 0.375 0.393 0.750
Zn4 0.875 0.857 0.750
K1 0.500 0.500 0.000
K2 0.250 0.750 0.500

D(E_F)? In order: 9.9; 8.2 states/eV/cell.